1.
5
Lattice="7.072 0.000 0.000 0.000 7.072 0.000 0.000 0.000 6.813" Properties=species:S:1:pos:R:3 comment="PBE-GGA RbCdTe2I, relaxed" magmom_total_mub_per_fu=4.05 sg="P4/mmm, No. 123" dft_energy_ev_per_atom=-1.4605 relative_energy_kj_per_mol_atoms=79.7 e_form_raw_ev_per_atom=0.483 pbc="T T T"
I 0.000 0.000 3.407
Te 0.000 3.536 0.000
Te 3.536 0.000 0.000
Rb 0.000 0.000 0.000
Cd 3.536 3.536 3.407

***

2.
5
Lattice="-5.769 1.179 1.827 -2.119 -4.214 -3.970 0.451 -4.005 4.010" Properties=species:S:1:pos:R:3 comment="PBE-GGA RbCdTeI2, relaxed" magmom_total_mub_per_fu=0.96 sg="P4/mmm, No. 123" dft_energy_ev_per_atom=-2.1943 relative_energy_kj_per_mol_atoms=0.0 e_form_raw_ev_per_atom=-0.569 pbc="T T T"
I -1.060 -2.107 -1.985
I -2.885 0.590 0.914
Te 0.226 -2.003 2.005
Rb -3.718 -3.520 0.934
Cd 0.000 0.000 0.000

***

3.
10
Lattice="-3.964 -7.742 -0.101 7.380 -3.743 -2.681 3.359 -6.664 4.440" Properties=species:S:1:pos:R:3 comment="PBE-GGA Rb2CdTeI6, relaxed" magmom_total_mub_per_fu=0.00 sg="I4/mmm, No. 139" dft_energy_ev_per_atom=-2.2336 e_form_raw_ev_per_atom=-0.704 pbc="T T T"
I 2.557 -6.216 1.605
I 4.219 -11.933 0.053
I 0.879 -2.954 -0.715
I 2.538 -8.531 -2.066
I -1.046 -6.714 -0.764
I 4.462 -4.772 -2.017
Te 0.000 0.000 0.000
Rb 0.552 -10.075 1.474
Rb 6.224 -8.075 0.184
Cd 1.708 -5.743 -1.391